Material: BeTc3Pd
Method: DFT, GGA-PBE
State: relaxed

abc: 4.1225 4.1225 4.1225
angles: 90.00 90.00 90.00
Fractional coordinates of all 5 atoms:
Be1 0.0000 0.0000 0.0000
Tc1 0.0000 0.0000 0.5000
Tc2 0.0000 0.5000 0.0000
Tc3 0.5000 0.0000 0.0000
Pd1 0.5000 0.5000 0.5000

Its space-group type is No. 221. For the polymorph energy (0 for the lowest one), the calculation gives 0.00 eV per formula unit. Its formation energy is 57.4 kJ per mole of atoms.